# GGA-PBE Li6HoPt, relaxed
data_Li6HoPt
_chemical_formula_sum 'Li6 Ho1 Pt1'
_symmetry_space_group_name_H-M 'P -1'
_symmetry_Int_Tables_number 2
_cell_length_a 5.170
_cell_length_b 5.176
_cell_length_c 5.176
_cell_angle_alpha 79.04
_cell_angle_beta 79.16
_cell_angle_gamma 79.07
loop_
_symmetry_equiv_pos_as_xyz
'x,y,z'
'-x,-y,-z'
loop_
_atom_site_label
_atom_site_fract_x
_atom_site_fract_y
_atom_site_fract_z
Li1 0.015 0.195 0.058
Li2 0.305 0.942 0.484
Li3 0.442 0.484 0.805
Ho1 0.000 0.500 0.500
Pt1 0.500 0.000 0.000
# **M_tot**: 0.0 μB/f.u.
# **Total energy**: -2.72 eV/atom

# GGA-PBE LiHoPt, relaxed
data_LiHoPt
_chemical_formula_sum 'Li4 Ho4 Pt4'
_symmetry_space_group_name_H-M 'F -4 3 m'
_symmetry_Int_Tables_number 216
_symmetry_space_group_name_Hall 'F -4 2 3'
_cell_length_a 6.493
_cell_length_b 6.493
_cell_length_c 6.493
_cell_angle_alpha 90.00
_cell_angle_beta 90.00
_cell_angle_gamma 90.00
loop_
_atom_site_label
_atom_site_fract_x
_atom_site_fract_y
_atom_site_fract_z
Li1 0.000 0.000 0.000
Ho1 0.250 0.250 0.250
Pt1 0.000 0.000 0.500
# **M_tot**: 0.0 μB/f.u.
# **Total energy**: -4.51 eV/atom

# GGA-PBE LiHoPt, relaxed
data_LiHoPt
_chemical_formula_sum 'Li4 Ho4 Pt4'
_symmetry_space_group_name_H-M 'F -4 3 m'
_symmetry_Int_Tables_number 216
_symmetry_space_group_name_Hall 'F -4 2 3'
_cell_length_a 6.118
_cell_length_b 6.118
_cell_length_c 6.118
_cell_angle_alpha 90.00
_cell_angle_beta 90.00
_cell_angle_gamma 90.00
loop_
_atom_site_label
_atom_site_fract_x
_atom_site_fract_y
_atom_site_fract_z
Li1 0.000 0.000 0.000
Ho1 0.250 0.250 0.750
Pt1 0.250 0.250 0.250
# **M_tot**: 0.0 μB/f.u.
# **Total energy**: -4.68 eV/atom

# GGA-PBE LiHoPu, relaxed
data_LiHoPu
_chemical_formula_sum 'Li4 Ho4 Pu4'
_symmetry_space_group_name_H-M 'F -4 3 m'
_symmetry_Int_Tables_number 216
_symmetry_space_group_name_Hall 'F -4 2 3'
_cell_length_a 6.927
_cell_length_b 6.927
_cell_length_c 6.927
_cell_angle_alpha 90.00
_cell_angle_beta 90.00
_cell_angle_gamma 90.00
loop_
_atom_site_label
_atom_site_fract_x
_atom_site_fract_y
_atom_site_fract_z
Li1 0.000 0.000 0.000
Ho1 0.250 0.250 0.250
Pu1 0.250 0.250 0.750
# **M_tot**: 7.3 μB/f.u.
# **Total energy**: -6.23 eV/atom